1.
Here is a relaxed AlCuSi2 crystal from Alexandria via LeMat-Bulk. Energies are from PBE.

## Properties
total DFT energy (no corrections)	-18.12	eV for the cell shown

a = 3.8637 Å, b = 3.8637 Å, c = 4.9568 Å
α = 90.00°, β = 90.00°, γ = 120.00°
Sites, in units of the cell vectors:
Si: 0.6667 0.3333 0.8052
Si: 0.3333 0.6667 0.1948
Al: 0.0000 0.0000 0.5000
Cu: 0.0000 0.0000 0.0000

=====

2.
Here is a relaxed AlCuSi2 crystal from Alexandria via LeMat-Bulk. Energies are from PBE.

## Properties
total DFT energy (no corrections)	-35.72	eV for the cell shown

a = 5.7395 Å, b = 5.7395 Å, c = 7.6008 Å
α = 90.00°, β = 90.00°, γ = 152.03°
Sites, in units of the cell vectors:
Cu: 0.5336 0.4664 0.7500
Cu: 0.4664 0.5336 0.2500
Si: 0.8918 0.1082 0.9785
Si: 0.1082 0.8918 0.0215
Si: 0.8918 0.1082 0.5215
Si: 0.1082 0.8918 0.4785
Al: 0.2548 0.7452 0.7500
Al: 0.7452 0.2548 0.2500

=====

3.
Here is a relaxed Al4Cu2Si crystal from Alexandria via LeMat-Bulk. Energies are from PBE.

## Properties
total DFT energy (no corrections)	-56.38	eV for the cell shown

a = 4.1345 Å, b = 4.1570 Å, c = 16.9866 Å
α = 89.57°, β = 90.00°, γ = 119.82°
Sites, in units of the cell vectors:
Al: 0.6534 0.3068 0.1877
Al: 0.7264 0.4529 0.4419
Al: 0.2736 0.5471 0.5581
Al: 0.6868 0.3737 0.7304
Al: 0.6727 0.3455 0.8983
Al: 0.3466 0.6932 0.8123
Al: 0.3132 0.6263 0.2696
Al: 0.3273 0.6545 0.1017
Cu: 0.3362 0.6725 0.9587
Cu: 0.6638 0.3275 0.0413
Cu: 0.0151 0.0302 0.7949
Cu: 0.9849 0.9698 0.2051
Si: 0.6013 0.2025 0.5907
Si: 0.3987 0.7975 0.4093

=====

D(E_F), record by record: 0.37; 0.37; 0.28 states/eV per atom